Record 1
A relaxed Si3Pb12Au5 crystal. Source: Alexandria, functional PBE-GGA.

Summary:
ΔE_f (raw): 0.2112 eV/atom
symmetry: Ia-3d (230)

Cell lengths 14.774, 14.774, 14.774 Å; angles 109.47, 109.47, 109.47 degrees
Fractional coordinates of all 80 atoms:
Pb 0.628 0.057 0.227
Pb 0.929 0.830 0.557
Si 0.750 0.875 0.625
Pb 0.943 0.372 0.273
Si 0.750 0.375 0.125
Pb 0.401 0.128 0.571
Pb 0.943 0.571 0.170
Au 0.750 0.125 0.875
Si 0.625 0.250 0.375
Au 0.375 0.125 0.750
Si 0.125 0.875 0.750
Pb 0.599 0.872 0.429
Pb 0.727 0.599 0.170
Au 0.125 0.750 0.375
Pb 0.128 0.401 0.071
Pb 0.429 0.057 0.330
Au 0.250 0.375 0.625
Pb 0.830 0.901 0.273
Pb 0.773 0.330 0.901
Si 0.375 0.625 0.250
Pb 0.099 0.929 0.372
Pb 0.901 0.830 0.773
Pb 0.372 0.943 0.773
Pb 0.227 0.557 0.628
Au 0.000 0.500 0.000
Pb 0.273 0.872 0.943
Au 0.625 0.875 0.250
Pb 0.670 0.443 0.571
Si 0.875 0.750 0.125
Pb 0.057 0.429 0.830
Au 0.500 0.000 0.000
Au 0.375 0.250 0.125
Pb 0.170 0.071 0.943
Au 0.625 0.750 0.875
Au 0.500 0.000 0.500
Au 0.250 0.875 0.125
Si 0.250 0.625 0.875
Pb 0.670 0.227 0.599
Au 0.500 0.500 0.500
Pb 0.170 0.099 0.727
Pb 0.571 0.943 0.670
Au 0.125 0.375 0.250
Pb 0.872 0.599 0.929
Si 0.125 0.250 0.875
Pb 0.099 0.170 0.227
Pb 0.830 0.929 0.057
Au 0.000 0.000 0.500
Au 0.750 0.625 0.375
Pb 0.429 0.372 0.599
Pb 0.599 0.727 0.670
Au 0.000 0.500 0.500
Pb 0.872 0.273 0.443
Si 0.375 0.750 0.625
Pb 0.273 0.401 0.830
Au 0.875 0.625 0.750
Pb 0.443 0.670 0.071
Au 0.875 0.250 0.625
Pb 0.401 0.273 0.330
Si 0.250 0.125 0.375
Pb 0.773 0.443 0.372
Pb 0.071 0.170 0.443
Pb 0.330 0.773 0.401
Pb 0.057 0.628 0.727
Au 0.000 0.000 0.000
Au 0.500 0.500 0.000
Pb 0.443 0.773 0.872
Pb 0.557 0.227 0.128
Pb 0.128 0.727 0.557
Pb 0.071 0.901 0.128
Si 0.875 0.125 0.250
Pb 0.628 0.571 0.901
Pb 0.571 0.628 0.401
Pb 0.557 0.330 0.929
Pb 0.901 0.071 0.628
Si 0.625 0.375 0.750
Pb 0.227 0.670 0.099
Pb 0.929 0.099 0.872
Pb 0.330 0.557 0.429
Pb 0.727 0.128 0.057
Pb 0.372 0.429 0.099

***

Record 2
A relaxed Zn3Cd12Bi5 crystal. Source: Alexandria, functional PBE-GGA.

Summary:
symmetry: Ia-3d (230)
calculated formation energy: 160 meV/atom

Cell lengths 14.607, 14.607, 14.607 Å; angles 109.47, 109.47, 109.47 degrees
Fractional coordinates of all 80 atoms:
Zn 0.875 0.125 0.250
Bi 0.000 0.500 0.500
Bi 0.500 0.000 0.500
Cd 0.384 0.255 0.328
Zn 0.375 0.750 0.625
Zn 0.250 0.625 0.875
Cd 0.129 0.384 0.057
Bi 0.625 0.750 0.875
Cd 0.328 0.755 0.384
Cd 0.871 0.255 0.428
Cd 0.328 0.572 0.443
Cd 0.255 0.871 0.928
Cd 0.828 0.943 0.072
Bi 0.875 0.250 0.625
Bi 0.000 0.500 0.000
Cd 0.616 0.871 0.443
Bi 0.125 0.750 0.375
Cd 0.884 0.057 0.629
Zn 0.375 0.625 0.250
Zn 0.625 0.250 0.375
Zn 0.125 0.875 0.750
Zn 0.625 0.375 0.750
Cd 0.116 0.172 0.245
Bi 0.125 0.375 0.250
Cd 0.245 0.672 0.116
Zn 0.875 0.750 0.125
Bi 0.500 0.500 0.500
Cd 0.928 0.371 0.255
Cd 0.943 0.828 0.572
Cd 0.745 0.129 0.072
Cd 0.057 0.172 0.428
Cd 0.672 0.428 0.557
Cd 0.428 0.755 0.871
Cd 0.672 0.245 0.616
Cd 0.428 0.672 0.057
Cd 0.443 0.072 0.328
Cd 0.572 0.245 0.129
Cd 0.755 0.428 0.371
Cd 0.371 0.443 0.116
Cd 0.557 0.629 0.384
Cd 0.557 0.928 0.672
Cd 0.172 0.057 0.928
Bi 0.250 0.875 0.125
Cd 0.072 0.629 0.745
Zn 0.250 0.125 0.375
Bi 0.000 0.000 0.500
Bi 0.500 0.500 0.000
Cd 0.828 0.884 0.255
Cd 0.884 0.828 0.755
Cd 0.172 0.116 0.745
Bi 0.500 0.000 0.000
Cd 0.116 0.943 0.371
Cd 0.629 0.557 0.884
Cd 0.755 0.328 0.884
Cd 0.629 0.072 0.245
Bi 0.000 0.000 0.000
Zn 0.125 0.250 0.875
Zn 0.750 0.875 0.625
Cd 0.616 0.745 0.672
Bi 0.625 0.875 0.250
Bi 0.875 0.625 0.750
Cd 0.745 0.616 0.172
Zn 0.750 0.375 0.125
Cd 0.928 0.557 0.172
Bi 0.375 0.250 0.125
Cd 0.255 0.384 0.828
Bi 0.750 0.625 0.375
Cd 0.371 0.928 0.755
Cd 0.057 0.884 0.129
Cd 0.443 0.371 0.616
Cd 0.129 0.745 0.572
Bi 0.250 0.375 0.625
Bi 0.375 0.125 0.750
Cd 0.072 0.443 0.828
Bi 0.750 0.125 0.875
Cd 0.871 0.616 0.943
Cd 0.245 0.572 0.629
Cd 0.572 0.328 0.943
Cd 0.384 0.129 0.557
Cd 0.943 0.116 0.871

***

Record 3
A relaxed LiInSn crystal. Source: Alexandria, functional PBE-GGA.

Summary:
symmetry: C2/c (15)
calculated formation energy: -183 meV/atom

Cell lengths 9.594, 5.520, 5.520 Å; angles 59.36, 114.21, 65.79 degrees
Fractional coordinates of all 6 atoms:
Li 0.250 0.644 0.144
Sn 0.250 0.313 0.813
In 0.250 0.977 0.477
Sn 0.750 0.687 0.187
In 0.750 0.023 0.523
Li 0.750 0.356 0.856

***

Record 4
A relaxed ThNiAsS crystal. Source: Alexandria, functional PBE-GGA.

Summary:
ΔE_f (raw): -1.1630 eV/atom
symmetry: P4/nmm (129)

Cell lengths 4.377, 4.377, 8.184 Å; angles 90.00, 90.00, 90.00 degrees
Fractional coordinates of all 8 atoms:
As 0.000 0.500 0.868
Th 0.000 0.500 0.287
Ni 0.000 0.000 0.000
S 0.500 0.500 0.500
Ni 0.500 0.500 0.000
S 0.000 0.000 0.500
Th 0.500 0.000 0.713
As 0.500 0.000 0.132

***

Record 5
A relaxed Ca2WBr crystal. Source: Alexandria, functional PBE-GGA.

Summary:
ΔE_f (raw): 0.0296 eV/atom
symmetry: P4/mmm (123)

Cell lengths 3.302, 3.302, 9.450 Å; angles 69.57, 90.00, 90.00 degrees
Fractional coordinates of all 4 atoms:
Br 0.500 0.750 0.750
Ca 0.000 0.506 0.494
W 0.500 0.250 0.250
Ca 0.000 0.994 0.006

***

Record 6
A relaxed Dy4AlSeS2 crystal. Source: Alexandria, functional PBE-GGA.

Summary:
ΔE_f (raw): -1.4782 eV/atom
symmetry: P2/m (10)

Cell lengths 3.926, 7.068, 7.074 Å; angles 71.54, 90.00, 90.00 degrees
Fractional coordinates of all 8 atoms:
Se 0.000 0.500 0.500
Dy 0.000 0.764 0.743
Dy 0.000 0.236 0.257
Dy 0.500 0.237 0.759
Al 0.500 0.500 0.000
S 0.000 0.000 0.000
S 0.500 0.000 0.500
Dy 0.500 0.763 0.241

***

Record 7
A relaxed Sr3LaCuRuO8 crystal. Source: Alexandria, functional PBE-GGA.

Summary:
ΔE_f (raw): -2.1587 eV/atom
symmetry: Amm2 (38)

Cell lengths 6.888, 6.888, 5.609 Å; angles 90.00, 90.00, 132.02 degrees
Fractional coordinates of all 14 atoms:
O 0.740 0.746 0.251
Sr 0.644 0.356 0.000
O 0.254 0.260 0.749
Cu 0.000 0.000 0.000
Sr 0.141 0.859 0.500
O 0.660 0.340 0.500
Sr 0.858 0.142 0.500
O 0.337 0.663 0.500
O 0.834 0.166 0.000
La 0.359 0.641 0.000
Ru 0.501 0.499 0.500
O 0.740 0.746 0.749
O 0.178 0.822 0.000
O 0.254 0.260 0.251

***

Record 8
A relaxed Tm5ThSn2 crystal. Source: Alexandria, functional PBE-GGA.

Summary:
symmetry: Cmcm (63)
calculated formation energy: -278 meV/atom

Cell lengths 4.304, 6.370, 18.442 Å; angles 90.00, 90.00, 109.75 degrees
Fractional coordinates of all 16 atoms:
Sn 0.244 0.489 0.624
Sn 0.244 0.489 0.876
Sn 0.756 0.511 0.376
Tm 0.361 0.723 0.026
Tm 0.639 0.277 0.526
Tm 0.043 0.086 0.112
Tm 0.957 0.914 0.612
Sn 0.756 0.511 0.124
Th 0.322 0.645 0.250
Tm 0.361 0.723 0.474
Tm 0.593 0.186 0.250
Tm 0.043 0.086 0.388
Th 0.678 0.355 0.750
Tm 0.639 0.277 0.974
Tm 0.407 0.814 0.750
Tm 0.957 0.914 0.888

***

Record 9
A relaxed Ta5VOs6 crystal. Source: Alexandria, functional PBE-GGA.

Summary:
symmetry: Immm (71)
calculated formation energy: -282 meV/atom

Cell lengths 4.326, 7.558, 7.558 Å; angles 114.71, 106.63, 106.63 degrees
Fractional coordinates of all 12 atoms:
Os 0.229 0.063 0.394
V 0.000 0.000 0.000
Os 0.229 0.394 0.063
Os 0.714 0.214 0.214
Ta 0.000 0.647 0.353
Ta 0.500 0.179 0.821
Ta 0.000 0.353 0.647
Os 0.286 0.786 0.786
Ta 0.500 0.821 0.179
Os 0.771 0.606 0.937
Ta 0.500 0.500 0.500
Os 0.771 0.937 0.606

***

Record 10
A relaxed AlVGa2 crystal. Source: Alexandria, functional PBE-GGA.

Summary:
symmetry: R3m (160)
calculated formation energy: 121 meV/atom

Cell lengths 4.025, 4.025, 5.417 Å; angles 68.19, 68.19, 60.00 degrees
Fractional coordinates of all 4 atoms:
Ga 0.074 0.074 0.778
Ga 0.262 0.262 0.215
V 0.675 0.675 0.974
Al 0.489 0.489 0.533

***

Record 11
A relaxed Ca2FeCl crystal. Source: Alexandria, functional PBE-GGA.

Summary:
ΔE_f (raw): -0.4797 eV/atom
symmetry: P2/m (10)

Cell lengths 3.493, 3.640, 8.158 Å; angles 90.07, 90.00, 90.00 degrees
Fractional coordinates of all 4 atoms:
Cl 0.500 0.250 0.250
Fe 0.500 0.750 0.750
Ca 0.000 0.249 0.528
Ca 0.000 0.251 0.972

***

Record 12
A relaxed Ac2FeSiIr crystal. Source: Alexandria, functional PBE-GGA.

Summary:
ΔE_f (raw): -0.5158 eV/atom
symmetry: P4/nmm (129)

Cell lengths 4.217, 4.217, 14.084 Å; angles 90.00, 90.00, 90.00 degrees
Fractional coordinates of all 10 atoms:
Si 0.000 0.500 0.427
Ir 0.500 0.000 0.121
Ac 0.000 0.500 0.101
Ir 0.000 0.500 0.879
Fe 0.000 0.000 0.500
Ac 0.000 0.500 0.671
Fe 0.500 0.500 0.500
Ac 0.500 0.000 0.329
Ac 0.500 0.000 0.899
Si 0.500 0.000 0.573

***

Record 13
A relaxed BaBr2 crystal. Source: Alexandria, functional PBE-GGA.

Summary:
ΔE_f (raw): -2.0810 eV/atom
symmetry: P6_3/mmc (194)

Cell lengths 5.604, 5.604, 7.508 Å; angles 90.00, 90.00, 120.00 degrees
Fractional coordinates of all 6 atoms:
Ba 0.333 0.667 0.250
Br 0.000 0.000 0.500
Br 0.333 0.667 0.750
Ba 0.667 0.333 0.750
Br 0.000 0.000 0.000
Br 0.667 0.333 0.250

***

Record 14
A relaxed CeDy3Tl4Te8 crystal. Source: Alexandria, functional PBE-GGA.

Summary:
ΔE_f (raw): -1.0379 eV/atom
symmetry: R-3m (166)

Cell lengths 8.976, 9.691, 8.975 Å; angles 117.58, 120.00, 90.00 degrees
Fractional coordinates of all 16 atoms:
Te 0.242 0.715 0.485
Te 0.758 0.285 0.027
Tl 0.000 0.000 0.000
Te 0.263 0.288 0.525
Te 0.737 0.712 0.475
Te 0.758 0.285 0.515
Te 0.731 0.715 0.973
Te 0.269 0.285 0.027
Ce 0.000 0.500 0.000
Tl 0.500 0.000 0.500
Te 0.242 0.715 0.973
Dy 0.500 0.500 0.500
Dy 0.000 0.500 0.500
Dy 0.500 0.500 0.000
Tl 0.000 0.000 0.500
Tl 0.500 0.000 0.000

***

Record 15
A relaxed SnBi2Au crystal. Source: Alexandria, functional PBE-GGA.

Summary:
symmetry: P4/mmm (123)
calculated formation energy: 109 meV/atom

Cell lengths 4.419, 4.959, 4.959 Å; angles 90.00, 90.00, 90.00 degrees
Fractional coordinates of all 4 atoms:
Sn 0.500 0.000 0.000
Bi 0.000 0.000 0.500
Au 0.500 0.500 0.500
Bi 0.000 0.500 0.000

***

Record 16
A relaxed Pr15Y4Mg crystal. Source: Alexandria, functional PBE-GGA.

Summary:
symmetry: P4/mmm (123)
calculated formation energy: 5 meV/atom

Cell lengths 5.174, 5.174, 25.978 Å; angles 90.00, 90.00, 90.00 degrees
Fractional coordinates of all 20 atoms:
Pr 0.500 0.000 0.098
Pr 0.000 0.500 0.500
Pr 0.500 0.500 0.399
Mg 0.000 0.000 0.000
Pr 0.500 0.500 0.601
Pr 0.500 0.000 0.902
Y 0.000 0.000 0.399
Y 0.000 0.000 0.601
Y 0.000 0.000 0.198
Pr 0.000 0.500 0.701
Pr 0.500 0.500 0.197
Pr 0.000 0.500 0.098
Pr 0.000 0.500 0.902
Pr 0.500 0.500 0.803
Pr 0.500 0.500 0.000
Pr 0.500 0.000 0.500
Pr 0.000 0.500 0.299
Pr 0.500 0.000 0.299
Pr 0.500 0.000 0.701
Y 0.000 0.000 0.802

***

Number 1: total DFT energy (no corrections) -3.6466 eV per atom. Number 2: total DFT energy (no corrections) -1.5509 eV per atom. Number 3: total DFT energy (no corrections) -3.0681 eV per atom. Number 4: total DFT energy (no corrections) -6.6576 eV per atom. Number 5: total DFT energy (no corrections) -4.6277 eV per atom. Number 6: total DFT energy (no corrections) -5.7145 eV per atom. Number 7: total DFT energy (no corrections) -6.6594 eV per atom. Number 8: total DFT energy (no corrections) -5.0004 eV per atom. Number 9: total DFT energy (no corrections) -11.5957 eV per atom. Number 10: total DFT energy (no corrections) -4.6080 eV per atom. Number 11: total DFT energy (no corrections) -4.0578 eV per atom. Number 12: total DFT energy (no corrections) -6.7086 eV per atom. Number 13: total DFT energy (no corrections) -3.8371 eV per atom. Number 14: total DFT energy (no corrections) -4.4340 eV per atom. Number 15: total DFT energy (no corrections) -3.6511 eV per atom. Number 16: total DFT energy (no corrections) -4.9525 eV per atom.